1.
# AlTl2Pt2

A geometry-optimized AlTl2Pt2 structure (PBE, Alexandria via LeMat-Bulk).

**DOS at the Fermi energy**: 0.536 states/eV/atom
**Symmetry**: P4/mbm
**Calculated formation energy**: -0.140 eV per atom
**Crystal system**: tetragonal

```
AlTl2Pt2
1.0
-0.248 3.964 5.369
-2.456 -5.050 3.615
4.308 -1.278 1.142
Tl Al Pt
4 2 4
Direct
0.167 0.667 0.500
0.667 0.833 0.500
0.833 0.333 0.500
0.333 0.167 0.500
0.000 0.000 0.000
0.500 0.500 0.000
0.349 0.849 0.000
0.849 0.651 0.000
0.651 0.151 0.000
0.151 0.349 0.000
```

***

2.
# DyVPt6

A geometry-optimized DyVPt6 structure (PBE, Alexandria via LeMat-Bulk).

**DOS at the Fermi energy**: 0.658 states/eV/atom
**Symmetry**: P4/mmm
**Calculated formation energy**: -0.738 eV per atom
**Crystal system**: tetragonal

```
DyVPt6
1.0
4.015 0.000 0.000
0.000 4.015 0.000
0.000 0.000 8.070
Dy V Pt
1 1 6
Direct
0.000 0.000 0.000
0.000 0.000 0.500
0.500 0.500 0.000
0.500 0.500 0.500
0.500 0.000 0.268
0.500 0.000 0.732
0.000 0.500 0.268
0.000 0.500 0.732
```

***

3.
# TaAsAuI2

A geometry-optimized TaAsAuI2 structure (PBE, Alexandria via LeMat-Bulk).

**DOS at the Fermi energy**: 1.437 states/eV/atom
**Symmetry**: P4/mmm
**Crystal system**: tetragonal
**Formation energy from raw total energies**: 1.4635 eV/atom

```
TaAsAuI2
1.0
-3.641 -1.617 -3.770
-0.026 -4.824 2.095
-4.102 1.469 3.331
I As Au Ta
2 1 1 1
Direct
0.000 0.000 0.500
0.500 0.000 0.000
0.500 0.500 0.500
0.000 0.000 0.000
0.000 0.500 0.000
```

***

4.
# VPtBr2

A geometry-optimized VPtBr2 structure (PBE, Alexandria via LeMat-Bulk).

**DOS at the Fermi energy**: 1.042 states/eV/atom
**Symmetry**: I-42d
**Crystal system**: tetragonal
**Formation energy from raw total energies**: 0.3034 eV/atom
**Energy above the lowest structure with this stoichiometry**: 169 meV per atom

```
VPtBr2
1.0
4.770 0.000 0.000
0.000 4.770 0.000
2.385 2.385 7.912
Pt Br V
2 4 2
Direct
0.000 0.000 0.000
0.750 0.250 0.500
0.619 0.125 0.250
0.131 0.625 0.250
0.375 0.381 0.750
0.875 0.869 0.750
0.500 0.500 0.000
0.250 0.750 0.500
```

***

5.
# Dy5P4Se

A geometry-optimized Dy5P4Se structure (PBE, Alexandria via LeMat-Bulk).

**DOS at the Fermi energy**: 0.250 states/eV/atom
**Symmetry**: Immm
**Crystal system**: orthorhombic
**Formation energy from raw total energies**: -1.7023 eV/atom

```
Dy5P4Se
1.0
-2.797 2.739 0.897
-4.074 -3.671 -1.493
3.084 -2.992 9.757
Dy P Se
5 4 1
Direct
0.607 0.107 0.215
0.801 0.301 0.601
0.199 0.699 0.399
0.000 0.500 0.000
0.393 0.893 0.785
0.401 0.401 0.802
0.799 0.799 0.598
0.201 0.201 0.402
0.599 0.599 0.198
0.000 0.000 0.000
```

***

6.
# Li3Pr3UTe8

A geometry-optimized Li3Pr3UTe8 structure (PBE, Alexandria via LeMat-Bulk).

**DOS at the Fermi energy**: 0.343 states/eV/atom
**Symmetry**: R-3m
**Crystal system**: trigonal
**Formation energy from raw total energies**: -1.1477 eV/atom

```
Li3Pr3UTe8
1.0
8.964 0.000 0.000
-4.482 7.762 -0.029
0.000 -5.152 7.101
Li Pr U Te
3 3 1 8
Direct
0.000 0.000 0.000
0.000 0.500 0.000
0.500 0.500 0.000
0.500 0.000 0.500
0.500 0.500 0.500
0.000 0.500 0.500
0.000 0.000 0.500
0.245 0.490 0.235
0.755 0.510 0.765
0.754 0.508 0.245
0.246 0.492 0.755
0.754 0.991 0.245
0.246 0.009 0.755
0.236 0.991 0.245
0.764 0.009 0.755
```

***

7.
# TiTcC3

A geometry-optimized TiTcC3 structure (PBE, Alexandria via LeMat-Bulk).

**DOS at the Fermi energy**: 0.681 states/eV/atom
**Symmetry**: Pm-3m
**Calculated formation energy**: 1.547 eV per atom
**Crystal system**: cubic
**Energy above the lowest structure with this stoichiometry**: 0 meV per atom

```
TiTcC3
1.0
3.938 0.000 0.000
0.000 3.938 0.000
0.000 0.000 3.938
C Tc Ti
3 1 1
Direct
0.000 0.500 0.000
0.000 0.000 0.500
0.500 0.000 0.000
0.000 0.000 0.000
0.500 0.500 0.500
```

***

8.
# BaTl5Hg4

A geometry-optimized BaTl5Hg4 structure (PBE, Alexandria via LeMat-Bulk).

**DOS at the Fermi energy**: 0.464 states/eV/atom
**Symmetry**: Pmmn
**Calculated formation energy**: -0.127 eV per atom
**Crystal system**: orthorhombic
**Energy above the lowest structure with this stoichiometry**: 23 meV per atom

```
BaTl5Hg4
1.0
6.899 0.000 0.000
0.000 9.521 0.000
0.000 0.000 9.479
Ba Tl Hg
2 10 8
Direct
0.001 0.000 0.000
0.999 0.500 0.500
0.218 0.810 0.690
0.218 0.190 0.690
0.120 0.500 0.000
0.218 0.810 0.310
0.218 0.190 0.310
0.782 0.690 0.190
0.782 0.310 0.190
0.880 0.000 0.500
0.782 0.310 0.810
0.782 0.690 0.810
0.588 0.000 0.774
0.412 0.772 0.000
0.412 0.228 0.000
0.588 0.000 0.226
0.412 0.500 0.274
0.588 0.728 0.500
0.588 0.272 0.500
0.412 0.500 0.726
```